Computed, not measured: an optimized crystal structure of RbSiF2 at the PBE level of DFT.

Computed properties:
Raw total energy (eV/atom): -3.90
ΔE to the lowest computed polymorph (meV per atom): 391.9
Size of the total moment (μB/cell): 2.000
Uncorrected formation energy (eV per atom): -1.37
Space-group type: No. 122

a b c (Å): 7.695 7.695 7.695
angles (deg): 140.18 140.18 57.57
Sites, in units of the cell vectors:
1 Rb 0.000 0.000 0.000
2 Rb 0.750 0.250 0.500
3 Si 0.250 0.750 0.500
4 Si 0.500 0.500 0.000
5 F 0.244 0.625 0.119
6 F 0.375 0.494 0.619
7 F 0.506 0.125 0.881
8 F 0.875 0.756 0.381



Computed, not measured: an optimized crystal structure of Rb3SiF at the PBE level of DFT.

Computed properties:
Raw total energy (eV/atom): -2.82
ΔE to the lowest computed polymorph (meV per atom): 0.0
Size of the total moment (μB/cell): 2.000
Uncorrected formation energy (eV per atom): -0.79
Space-group type: No. 221

a b c (Å): 5.624 5.624 5.624
angles (deg): 90.00 90.00 90.00
Sites, in units of the cell vectors:
1 Rb 0.000 0.000 0.500
2 Rb 0.000 0.500 0.000
3 Rb 0.500 0.000 0.000
4 Si 0.500 0.500 0.500
5 F 0.000 0.000 0.000



Computed, not measured: an optimized crystal structure of Rb3SiF7 at the PBE level of DFT.

Computed properties:
Raw total energy (eV/atom): -5.01
ΔE to the lowest computed polymorph (meV per atom): 0.0
Size of the total moment (μB/cell): 0.185
Uncorrected formation energy (eV per atom): -3.06
Space-group type: No. 127

a b c (Å): 8.087 8.087 5.899
angles (deg): 90.00 90.00 90.00
Sites, in units of the cell vectors:
1 Rb 0.000 0.000 0.000
2 Rb 0.195 0.305 0.500
3 Rb 0.305 0.805 0.500
4 Rb 0.500 0.500 0.000
5 Rb 0.695 0.195 0.500
6 Rb 0.805 0.695 0.500
7 Si 0.000 0.500 0.000
8 Si 0.500 0.000 0.000
9 F 0.000 0.000 0.500
10 F 0.106 0.606 0.208
11 F 0.106 0.606 0.792
12 F 0.150 0.350 0.000
13 F 0.350 0.850 0.000
14 F 0.394 0.106 0.208
15 F 0.394 0.106 0.792
16 F 0.500 0.500 0.500
17 F 0.606 0.894 0.208
18 F 0.606 0.894 0.792
19 F 0.650 0.150 0.000
20 F 0.850 0.650 0.000
21 F 0.894 0.394 0.208
22 F 0.894 0.394 0.792